Entry 1:
The following is a DFT calculation (GGA-PBE) of an optimized crystal structure of TlTe2Ir2.

Properties
total DFT energy (no corrections) = -26.14 eV/cell
symmetry = I4/mmm (139)

abc: 8.082 8.082 8.082
angles: 150.70 150.70 41.92
Element x y z (fractional)
1 Tl 0.000 0.000 0.000
2 Te 0.360 0.360 0.000
3 Te 0.640 0.640 0.000
4 Ir 0.250 0.750 0.500
5 Ir 0.750 0.250 0.500

=====

Entry 2:
The following is a DFT calculation (GGA-PBE) of an optimized crystal structure of TlTe8Ir4.

Properties
total DFT energy (no corrections) = -65.51 eV/cell
symmetry = R-3m (166)

abc: 9.129 9.129 9.129
angles: 51.13 51.13 51.13
Element x y z (fractional)
1 Tl 0.000 0.000 0.000
2 Te 0.223 0.727 0.727
3 Te 0.227 0.227 0.227
4 Te 0.273 0.273 0.777
5 Te 0.273 0.777 0.273
6 Te 0.727 0.223 0.727
7 Te 0.727 0.727 0.223
8 Te 0.773 0.773 0.773
9 Te 0.777 0.273 0.273
10 Ir 0.000 0.000 0.500
11 Ir 0.000 0.500 0.000
12 Ir 0.500 0.000 0.000
13 Ir 0.500 0.500 0.500

=====

- What is the total DFT energy (no corrections) in the first record?
  -26.14 eV/cell

=====

- Among the records above, which one has the highest total DFT energy (no corrections)?
  TlTe2Ir2

=====

- Look up the total DFT energy (no corrections) of the first one.
  -26.14 eV/cell

=====

- Which of these has the highest total DFT energy (no corrections)?
  TlTe2Ir2